TaHg2Sb after structural relaxation. Source: Alexandria via LeMat-Bulk, functional PBE.

Output
- calculated volume (A^3/atom) = 22.31
- magnetic moment (μB/atom) = 0.000
- ΔE_f (raw) (meV/atom) = 462

Cell: 3.121 5.372 5.436 Å, 90.00 101.61 90.00°
Fractional coordinates of all 4 atoms:
Ta (0.000, 0.000, 0.000)
Hg (0.191, 0.500, 0.766)
Hg (0.809, 0.500, 0.234)
Sb (0.500, 0.000, 0.500)



AcZnHRh2 after structural relaxation. Source: Alexandria via LeMat-Bulk, functional PBE.

Output
- E_tot (eV/atom) = -5.1538
- calculated volume (A^3/atom) = 16.80
- magnetic moment (μB/atom) = 0.000

Cell: 6.010 6.010 7.253 Å, 90.00 90.00 140.11°
Fractional coordinates of all 10 atoms:
Ac (0.067, 0.933, 0.750)
Ac (0.933, 0.067, 0.250)
Zn (0.210, 0.790, 0.250)
Zn (0.790, 0.210, 0.750)
H (0.500, 0.500, 0.000)
H (0.500, 0.500, 0.500)
Rh (0.342, 0.658, 0.543)
Rh (0.342, 0.658, 0.957)
Rh (0.658, 0.342, 0.043)
Rh (0.658, 0.342, 0.457)



Ca2PtPb3 after structural relaxation. Source: Alexandria via LeMat-Bulk, functional PBE.

Output
- calculated volume (A^3/atom) = 28.27
- magnetic moment (μB/atom) = 0.000
- calculated formation energy (meV/atom) = -418

Cell: 3.710 4.982 9.177 Å, 90.00 90.00 90.00°
Fractional coordinates of all 6 atoms:
Ca (0.000, 0.000, 0.000)
Ca (0.000, 0.500, 0.409)
Pt (0.500, 0.000, 0.268)
Pb (0.500, 0.000, 0.572)
Pb (0.500, 0.500, 0.124)
Pb (0.500, 0.500, 0.776)



CaBeSeBr2 after structural relaxation. Source: Alexandria via LeMat-Bulk, functional PBE.

Output
- calculated volume (A^3/atom) = 34.78
- magnetic moment (μB/atom) = 0.000
- energy above the lowest structure with this stoichiometry (eV/atom) = 0.816
- ΔE_f (raw) (meV/atom) = -100

Cell: 5.458 5.458 5.838 Å, 90.00 90.00 90.00°
Fractional coordinates of all 5 atoms:
Ca (0.000, 0.000, 0.000)
Be (0.500, 0.500, 0.500)
Se (0.000, 0.000, 0.500)
Br (0.000, 0.500, 0.000)
Br (0.500, 0.000, 0.000)



Hg3H2I2 after structural relaxation. Source: Alexandria via LeMat-Bulk, functional PBE.

Output
- E_tot (eV/atom) = -1.4165
- calculated volume (A^3/atom) = 26.83
- magnetic moment (μB/atom) = 0.000

Cell: 3.851 4.455 11.143 Å, 91.69 93.62 99.86°
Fractional coordinates of all 7 atoms:
Hg (0.000, 0.000, 0.000)
Hg (0.486, 0.231, 0.396)
Hg (0.514, 0.769, 0.604)
H (0.014, 0.767, 0.600)
H (0.986, 0.233, 0.400)
I (0.355, 0.679, 0.170)
I (0.645, 0.321, 0.830)



TlFeCu2 after structural relaxation. Source: Alexandria via LeMat-Bulk, functional PBE.

Output
- calculated volume (A^3/atom) = 15.06
- magnetic moment (μB/atom) = 0.741
- calculated formation energy (meV/atom) = 428
- energy above the lowest structure with this stoichiometry (eV/atom) = 0.059

Cell: 6.222 6.222 6.222 Å, 90.00 90.00 90.00°
Fractional coordinates of all 16 atoms:
Tl (0.000, 0.000, 0.000)
Tl (0.000, 0.500, 0.500)
Tl (0.500, 0.000, 0.500)
Tl (0.500, 0.500, 0.000)
Fe (0.000, 0.000, 0.500)
Fe (0.000, 0.500, 0.000)
Fe (0.500, 0.000, 0.000)
Fe (0.500, 0.500, 0.500)
Cu (0.250, 0.250, 0.250)
Cu (0.250, 0.250, 0.750)
Cu (0.250, 0.750, 0.250)
Cu (0.250, 0.750, 0.750)
Cu (0.750, 0.250, 0.250)
Cu (0.750, 0.250, 0.750)
Cu (0.750, 0.750, 0.250)
Cu (0.750, 0.750, 0.750)